Entry 1:
Compound: MnSb2As
Source: Alexandria via LeMat-Bulk
Functional: PBE
Structure: optimized geometry

Cell lengths 9.099, 9.099, 9.099 Å; angles 21.22, 21.22, 21.22 degrees
Fractional positions:
As1 0.479 0.479 0.479
Mn1 0.757 0.757 0.757
Sb1 0.018 0.018 0.018
Sb2 0.247 0.247 0.247

Computed properties:
electronic total energy	-5.390	eV/atom
E_form (uncorrected)	0.126	eV per atom
size of the total moment	2.380	μB/cell
density	7.170	g/cm³



Entry 2:
Compound: BaGe2Au6
Source: Alexandria via LeMat-Bulk
Functional: PBE
Structure: optimized geometry

Cell lengths 5.604, 5.604, 8.680 Å; angles 90.00, 90.00, 120.00 degrees
Fractional positions:
Ba1 0.000 0.000 0.000
Ge1 0.333 0.667 0.500
Ge2 0.667 0.333 0.500
Au1 0.500 0.000 0.237
Au2 0.500 0.500 0.237
Au3 0.000 0.500 0.237
Au4 0.500 0.500 0.763
Au5 0.000 0.500 0.763
Au6 0.500 0.000 0.763

Computed properties:
polymorph energy (0 for the lowest one)	148	kJ/mol of formula units
electronic total energy	-3.530	eV/atom
size of the total moment	0.000	μB/cell
density	10.300	g/cm³
energy relative to the elements	-0.105	eV/atom



Entry 3:
Compound: Na2CdPSe4
Source: Alexandria via LeMat-Bulk
Functional: PBE
Structure: optimized geometry

Cell lengths 8.087, 8.087, 8.485 Å; angles 121.64, 121.64, 90.93 degrees
Fractional positions:
Na1 0.500 0.000 0.000
Na2 0.500 0.000 0.500
Na3 0.000 0.000 0.500
Na4 0.500 0.500 0.000
Cd1 0.000 0.500 0.000
Cd2 0.000 0.500 0.500
P1 0.500 0.500 0.500
P2 0.000 0.000 0.000
Se1 0.222 0.764 0.993
Se2 0.736 0.278 0.507
Se3 0.264 0.722 0.493
Se4 0.778 0.236 0.007
Se5 0.749 0.751 0.961
Se6 0.749 0.751 0.539
Se7 0.251 0.249 0.461
Se8 0.251 0.249 0.039

Computed properties:
electronic total energy	-3.310	eV/atom
E_form (uncorrected)	-0.447	eV per atom
size of the total moment	0.000	μB/cell
density	4.556	g/cm³



Entry 4:
Compound: KBa2Zn2
Source: Alexandria via LeMat-Bulk
Functional: PBE
Structure: optimized geometry

Cell lengths 9.496, 9.496, 4.486 Å; angles 90.00, 90.00, 90.00 degrees
Fractional positions:
K1 0.000 0.000 0.000
K2 0.500 0.500 0.000
Zn1 0.370 0.870 0.000
Zn2 0.870 0.630 0.000
Zn3 0.630 0.130 0.000
Zn4 0.130 0.370 0.000
Ba1 0.154 0.654 0.500
Ba2 0.654 0.846 0.500
Ba3 0.846 0.346 0.500
Ba4 0.346 0.154 0.500

Computed properties:
polymorph energy (0 for the lowest one)	0	kJ/mol of formula units
electronic total energy	-1.544	eV/atom
size of the total moment	0.000	μB/cell
density	3.649	g/cm³
energy relative to the elements	-0.046	eV/atom



Entry 5:
Compound: PuZnSi
Source: Alexandria via LeMat-Bulk
Functional: PBE
Structure: optimized geometry

Cell lengths 4.100, 4.100, 7.777 Å; angles 105.28, 105.28, 90.00 degrees
Fractional positions:
Pu1 0.250 0.750 0.500
Pu2 0.500 0.500 0.000
Zn1 0.834 0.334 0.669
Zn2 0.666 0.166 0.331
Si1 0.918 0.918 0.837
Si2 0.082 0.082 0.163

Computed properties:
electronic total energy	-7.296	eV/atom
E_form (uncorrected)	-0.287	eV per atom
size of the total moment	11.351	μB/cell
density	9.240	g/cm³



Entry 6:
Compound: TaZnRe4
Source: Alexandria via LeMat-Bulk
Functional: PBE
Structure: optimized geometry

Cell lengths 5.186, 5.186, 5.186 Å; angles 60.00, 60.00, 60.00 degrees
Fractional positions:
Ta1 0.750 0.750 0.750
Zn1 0.000 0.000 0.000
Re1 0.876 0.375 0.375
Re2 0.375 0.375 0.876
Re3 0.375 0.876 0.375
Re4 0.375 0.375 0.375

Computed properties:
electronic total energy	-10.299	eV/atom
size of the total moment	0.000	μB/cell
density	16.687	g/cm³
energy relative to the elements	0.187	eV/atom



Entry 7:
Compound: TcH2S
Source: Alexandria via LeMat-Bulk
Functional: PBE
Structure: optimized geometry

Cell lengths 3.166, 3.166, 4.486 Å; angles 69.33, 69.33, 60.00 degrees
Fractional positions:
H1 0.140 0.140 0.580
H2 0.860 0.860 0.420
S1 0.500 0.500 0.500
Tc1 0.000 0.000 0.000

Computed properties:
polymorph energy (0 for the lowest one)	152	kJ/mol of formula units
electronic total energy	-4.480	eV/atom
size of the total moment	0.000	μB/cell
density	6.166	g/cm³



Entry 8:
Compound: KTlAgI3
Source: Alexandria via LeMat-Bulk
Functional: PBE
Structure: optimized geometry

Cell lengths 4.716, 10.483, 10.663 Å; angles 100.18, 90.00, 90.00 degrees
Fractional positions:
K1 0.250 0.654 0.164
K2 0.750 0.346 0.836
Tl1 0.250 0.175 0.192
Tl2 0.750 0.825 0.808
Ag1 0.250 0.075 0.580
Ag2 0.750 0.925 0.420
I1 0.750 0.903 0.147
I2 0.250 0.097 0.853
I3 0.250 0.794 0.497
I4 0.750 0.206 0.503
I5 0.750 0.408 0.169
I6 0.250 0.592 0.831

Computed properties:
electronic total energy	-2.613	eV/atom
E_form (uncorrected)	-0.785	eV per atom
size of the total moment	0.000	μB/cell
density	4.685	g/cm³



Entry 9:
Compound: LaTl4
Source: Alexandria via LeMat-Bulk
Functional: PBE
Structure: optimized geometry

Cell lengths 6.092, 6.092, 6.092 Å; angles 98.77, 98.77, 134.04 degrees
Fractional positions:
La1 0.000 0.000 0.000
Tl1 0.806 0.408 0.213
Tl2 0.408 0.194 0.602
Tl3 0.194 0.592 0.787
Tl4 0.592 0.806 0.398

Computed properties:
polymorph energy (0 for the lowest one)	15	kJ/mol of formula units
electronic total energy	-3.072	eV/atom
size of the total moment	0.000	μB/cell
density	10.615	g/cm³
energy relative to the elements	-0.193	eV/atom



Entry 10:
Compound: Tb2PrTm9
Source: Alexandria via LeMat-Bulk
Functional: PBE
Structure: optimized geometry

Cell lengths 3.495, 11.113, 11.113 Å; angles 120.00, 90.00, 90.00 degrees
Fractional positions:
Tb1 0.000 0.333 0.667
Tb2 0.000 0.667 0.333
Pr1 0.000 0.000 0.000
Tm1 0.000 0.000 0.500
Tm2 0.000 0.500 0.500
Tm3 0.000 0.500 0.000
Tm4 0.500 0.357 0.178
Tm5 0.500 0.178 0.822
Tm6 0.500 0.178 0.357
Tm7 0.500 0.822 0.643
Tm8 0.500 0.822 0.178
Tm9 0.500 0.643 0.822

Computed properties:
polymorph energy (0 for the lowest one)	20	kJ/mol of formula units
electronic total energy	-4.478	eV/atom
size of the total moment	0.000	μB/cell
density	8.794	g/cm³
energy relative to the elements	0.045	eV/atom



Entry 11:
Compound: Ac2Ge
Source: Alexandria via LeMat-Bulk
Functional: PBE
Structure: optimized geometry

Cell lengths 4.546, 6.813, 7.750 Å; angles 78.50, 72.94, 70.51 degrees
Fractional positions:
Ac1 0.583 0.200 0.635
Ac2 0.417 0.800 0.365
Ac3 0.178 0.723 0.921
Ac4 0.822 0.277 0.079
Ge1 0.118 0.419 0.345
Ge2 0.882 0.581 0.655

Computed properties:
polymorph energy (0 for the lowest one)	0	kJ/mol of formula units
electronic total energy	-4.743	eV/atom
size of the total moment	0.000	μB/cell
density	8.138	g/cm³
energy relative to the elements	-0.464	eV/atom



Entry 12:
Compound: BeSnIO2
Source: Alexandria via LeMat-Bulk
Functional: PBE
Structure: optimized geometry

Cell lengths 3.951, 3.951, 6.766 Å; angles 90.00, 90.00, 90.00 degrees
Fractional positions:
I1 0.000 0.000 0.500
Be1 0.500 0.500 0.500
Sn1 0.000 0.000 0.000
O1 0.000 0.500 0.000
O2 0.500 0.000 0.000

Computed properties:
polymorph energy (0 for the lowest one)	0	kJ/mol of formula units
electronic total energy	-4.032	eV/atom
E_form (uncorrected)	-0.192	eV per atom
size of the total moment	0.000	μB/cell
density	4.507	g/cm³



Entry 13:
Compound: MgTcSnP
Source: Alexandria via LeMat-Bulk
Functional: PBE
Structure: optimized geometry

Cell lengths 3.294, 4.068, 10.779 Å; angles 90.00, 90.00, 90.00 degrees
Fractional positions:
Mg1 0.000 0.000 0.383
Mg2 0.000 0.500 0.883
Tc1 0.000 0.000 0.102
Tc2 0.000 0.500 0.602
Sn1 0.500 0.000 0.689
Sn2 0.500 0.500 0.189
P1 0.500 0.000 0.943
P2 0.500 0.500 0.443

Computed properties:
polymorph energy (0 for the lowest one)	9	kJ/mol of formula units
electronic total energy	-5.581	eV/atom
size of the total moment	0.000	μB/cell
density	6.253	g/cm³
energy relative to the elements	-0.238	eV/atom



Entry 14:
Compound: LiEuGdAl
Source: Alexandria via LeMat-Bulk
Functional: PBE
Structure: optimized geometry

Cell lengths 5.327, 5.327, 5.327 Å; angles 60.00, 60.00, 60.00 degrees
Fractional positions:
Eu1 0.750 0.750 0.750
Gd1 0.250 0.250 0.250
Al1 0.500 0.500 0.500
Li1 0.000 0.000 0.000

Computed properties:
electronic total energy	-7.627	eV/atom
size of the total moment	0.298	μB/cell
density	5.330	g/cm³
energy relative to the elements	-0.124	eV/atom



Entry 15:
Compound: SmZrMn4
Source: Alexandria via LeMat-Bulk
Functional: PBE
Structure: optimized geometry

Cell lengths 5.068, 5.068, 5.068 Å; angles 60.00, 60.00, 60.00 degrees
Fractional positions:
Mn1 0.624 0.624 0.127
Mn2 0.624 0.127 0.624
Mn3 0.624 0.624 0.624
Mn4 0.127 0.624 0.624
Zr1 0.250 0.250 0.250
Sm1 0.000 0.000 0.000

Computed properties:
electronic total energy	-8.223	eV/atom
size of the total moment	2.788	μB/cell
density	8.322	g/cm³
energy relative to the elements	0.101	eV/atom



Entry 16:
Compound: MnHgMoW2
Source: Alexandria via LeMat-Bulk
Functional: PBE
Structure: optimized geometry

Cell lengths 4.413, 4.783, 4.413 Å; angles 90.00, 90.00, 90.00 degrees
Fractional positions:
Mo1 0.500 0.500 0.500
Mn1 0.000 0.000 0.000
Hg1 0.000 0.500 0.000
W1 0.000 0.000 0.500
W2 0.500 0.000 0.000

Computed properties:
electronic total energy	-7.582	eV/atom
size of the total moment	0.005	μB/cell
density	12.820	g/cm³
energy relative to the elements	1.660	eV/atom



Entry 17:
Compound: MnGaAu3
Source: Alexandria via LeMat-Bulk
Functional: PBE
Structure: optimized geometry

Cell lengths 4.899, 7.185, 5.505 Å; angles 90.00, 74.49, 90.00 degrees
Fractional positions:
Mn1 0.687 0.750 0.226
Mn2 0.313 0.250 0.774
Ga1 0.554 0.750 0.734
Ga2 0.446 0.250 0.266
Au1 0.210 0.951 0.117
Au2 0.790 0.049 0.883
Au3 0.210 0.549 0.117
Au4 0.790 0.451 0.883
Au5 0.113 0.750 0.573
Au6 0.887 0.250 0.427

Computed properties:
polymorph energy (0 for the lowest one)	35	kJ/mol of formula units
electronic total energy	-4.437	eV/atom
size of the total moment	8.270	μB/cell
density	12.729	g/cm³
energy relative to the elements	-0.032	eV/atom